(1)
A relaxed CoMo4AsC2 crystal, computed with GGA-PBE.

Values from the calculation:
DFT total energy in eV/atom: -9.11

a = 3.099 Å, b = 3.099 Å, c = 12.460 Å
α = 90.00°, β = 90.00°, γ = 120.00°
Sites, in units of the cell vectors:
Co 0.000 0.000 0.000
Mo 0.000 0.000 0.339
Mo 0.000 0.000 0.661
Mo 0.333 0.667 0.154
Mo 0.333 0.667 0.846
As 0.333 0.667 0.500
C 0.667 0.333 0.246
C 0.667 0.333 0.754

=====

(2)
A relaxed CoAsW4C2 crystal, computed with GGA-PBE.

Values from the calculation:
DFT total energy in eV/atom: -10.01

a = 3.093 Å, b = 3.093 Å, c = 12.562 Å
α = 90.00°, β = 90.00°, γ = 120.00°
Sites, in units of the cell vectors:
Co 0.000 0.000 0.000
As 0.667 0.333 0.500
W 0.000 0.000 0.339
W 0.000 0.000 0.661
W 0.667 0.333 0.153
W 0.667 0.333 0.847
C 0.333 0.667 0.247
C 0.333 0.667 0.753

=====

(3)
A relaxed CuMo4AsC2 crystal, computed with GGA-PBE.

Values from the calculation:
DFT total energy in eV/atom: -8.72

a = 3.136 Å, b = 3.136 Å, c = 12.505 Å
α = 90.00°, β = 90.00°, γ = 120.00°
Sites, in units of the cell vectors:
Cu 0.000 0.000 0.000
Mo 0.000 0.000 0.343
Mo 0.000 0.000 0.657
Mo 0.667 0.333 0.163
Mo 0.667 0.333 0.837
As 0.667 0.333 0.500
C 0.333 0.667 0.248
C 0.333 0.667 0.752

=====

(4)
A relaxed Nb4CuAsC2 crystal, computed with GGA-PBE.

Values from the calculation:
DFT total energy in eV/atom: -8.79

a = 3.257 Å, b = 3.257 Å, c = 12.532 Å
α = 90.00°, β = 90.00°, γ = 120.00°
Sites, in units of the cell vectors:
Nb 0.000 0.000 0.151
Nb 0.000 0.000 0.849
Nb 0.333 0.667 0.338
Nb 0.333 0.667 0.662
Cu 0.000 0.000 0.500
As 0.333 0.667 0.000
C 0.667 0.333 0.249
C 0.667 0.333 0.751

=====

(5)
A relaxed Y4CuAsC2 crystal, computed with GGA-PBE.

Values from the calculation:
DFT total energy in eV/atom: -7.04

a = 3.703 Å, b = 3.703 Å, c = 13.627 Å
α = 90.00°, β = 90.00°, γ = 120.00°
Sites, in units of the cell vectors:
Y 0.000 0.000 0.148
Y 0.000 0.000 0.852
Y 0.667 0.333 0.345
Y 0.667 0.333 0.655
Cu 0.000 0.000 0.500
As 0.667 0.333 0.000
C 0.333 0.667 0.254
C 0.333 0.667 0.746

=====

(6)
A relaxed Y4CuAsC2 crystal, computed with GGA-PBE.

Values from the calculation:
DFT total energy in eV/atom: -7.04

a = 3.693 Å, b = 3.693 Å, c = 13.649 Å
α = 90.00°, β = 90.00°, γ = 120.00°
Sites, in units of the cell vectors:
Y 0.000 0.000 0.149
Y 0.000 0.000 0.851
Y 0.333 0.667 0.347
Y 0.333 0.667 0.653
Cu 0.000 0.000 0.500
As 0.333 0.667 0.000
C 0.667 0.333 0.254
C 0.667 0.333 0.746

=====

Number 1: volume 103.6 Å³/cell. Number 2: volume 104.1 Å³/cell. Number 3: volume 106.5 Å³/cell. Number 4: volume 115.1 Å³/cell. Number 5: volume 161.8 Å³/cell. Number 6: volume 161.2 Å³/cell.